[1]
## Mg12In5Hg2 (PBE)

Data for Mg12In5Hg2 after structural relaxation.

Computed properties:
- offset from the most stable computed form (eV/atom) = 0.000
- total magnetization (μB per cell) = 0.00
- VASP energy (eV/atom) = -1.774
- DFT formation energy (eV/atom) = -0.015
- space group = C2/m (12)

Geometry as POSCAR:
```
Mg12In5Hg2
1.0
-5.387 6.027 -2.794
-8.195 -1.454 1.972
-0.325 3.966 6.034
Mg In Hg
12 5 2
Direct
0.613 0.161 0.557 Mg
0.518 0.518 0.742 Mg
0.161 0.613 0.557 Mg
0.898 0.494 0.842 Mg
0.839 0.387 0.443 Mg
0.387 0.839 0.443 Mg
0.911 0.911 0.158 Mg
0.089 0.089 0.842 Mg
0.482 0.482 0.258 Mg
0.102 0.506 0.158 Mg
0.506 0.102 0.158 Mg
0.494 0.898 0.842 Mg
0.702 0.702 0.160 In
0.298 0.298 0.840 In
0.000 0.000 0.500 In
0.769 0.769 0.541 In
0.231 0.231 0.459 In
0.744 0.256 0.000 Hg
0.256 0.744 0.000 Hg
```

[2]
## MgIn4Hg5 (PBE)

Data for MgIn4Hg5 after structural relaxation.

Computed properties:
- offset from the most stable computed form (eV/atom) = 0.017
- total magnetization (μB per cell) = 0.00
- VASP energy (eV/atom) = -1.417
- DFT formation energy (eV/atom) = -0.011
- space group = I4 (79)

Geometry as POSCAR:
```
MgIn4Hg5
1.0
-2.914 -5.270 -0.711
-1.865 -3.295 6.206
-7.237 0.566 -0.393
In Hg Mg
4 5 1
Direct
0.147 0.236 0.385 In
0.383 0.385 0.764 In
0.769 0.764 0.615 In
0.533 0.615 0.236 In
0.654 0.000 0.000 Hg
0.063 0.635 0.161 Hg
0.698 0.161 0.365 Hg
0.224 0.839 0.635 Hg
0.859 0.365 0.839 Hg
0.180 0.000 0.000 Mg
```

[3]
## Mg7In12Hg (PBE)

Data for Mg7In12Hg after structural relaxation.

Computed properties:
- total magnetization (μB per cell) = 0.00
- VASP energy (eV/atom) = -2.244
- DFT formation energy (eV/atom) = -0.028
- space group = P-1 (2)

Geometry as POSCAR:
```
Mg7In12Hg
1.0
-4.403 -3.969 -0.922
5.953 -5.221 6.252
-4.863 7.666 4.297
Mg In Hg
7 12 1
Direct
0.122 0.771 0.062 Mg
0.878 0.229 0.938 Mg
0.947 0.063 0.294 Mg
0.346 0.290 0.227 Mg
0.654 0.710 0.773 Mg
0.500 0.000 0.000 Mg
0.053 0.937 0.706 Mg
0.957 0.190 0.629 In
0.403 0.289 0.925 In
0.597 0.711 0.075 In
0.886 0.370 0.296 In
0.479 0.069 0.362 In
0.780 0.451 0.825 In
0.043 0.810 0.371 In
0.660 0.627 0.447 In
0.220 0.549 0.175 In
0.340 0.373 0.553 In
0.114 0.630 0.704 In
0.521 0.931 0.638 In
0.000 0.000 0.000 Hg
```

[4]
## MgIn2Hg3 (PBE)

Data for MgIn2Hg3 after structural relaxation.

Computed properties:
- offset from the most stable computed form (eV/atom) = 0.011
- total magnetization (μB per cell) = 0.00
- VASP energy (eV/atom) = -1.354
- DFT formation energy (eV/atom) = -0.025
- space group = Cmmm (65)

Geometry as POSCAR:
```
MgIn2Hg3
1.0
-4.734 1.358 -0.181
-1.542 -5.460 -0.636
0.415 2.204 5.695
Hg Mg In
3 1 2
Direct
0.500 0.500 0.000 Hg
0.500 0.846 0.693 Hg
0.500 0.154 0.307 Hg
0.000 0.000 0.000 Mg
0.000 0.675 0.351 In
0.000 0.325 0.649 In
```